In4AgMo: relaxed, PBE.

POSCAR file:
```
In4AgMo
1.0
0.0000 4.0602 4.0602
4.0602 0.0000 4.0602
4.0602 4.0602 0.0000
In Ag Mo
4 1 1
Direct
0.1250 0.1250 0.1250
0.1250 0.1250 0.6251
0.1250 0.6251 0.1250
0.6251 0.1250 0.1250
0.5000 0.5000 0.5000
0.7500 0.7500 0.7500
```

Crystal system   cubic
Formation enthalpy at 0 K   0.718 eV/atom